Record 1
## YTmSc3 (PBE-GGA)

Data for an optimized crystal structure of YTmSc3.

a = 14.949 Å, b = 6.349 Å, c = 3.436 Å
α = 74.32°, β = 96.65°, γ = 64.13°
Sites, in units of the cell vectors:
Tm 0.324 0.445 0.789
Tm 0.676 0.955 0.211
Y 0.881 0.953 0.815
Y 0.119 0.447 0.185
Sc 0.085 0.959 0.414
Sc 0.288 0.942 0.023
Sc 0.915 0.441 0.586
Sc 0.517 0.461 0.377
Sc 0.712 0.458 0.977
Sc 0.483 0.939 0.623

## Properties
**Energy above the lowest structure with this stoichiometry**: 0.0 kJ per mole of atoms
**Space group**: P-1
**D(E_F)**: 1.8990 states/eV/atom
**Energy of formation**: 0.0232 eV per atom
**E_tot**: -5.963 eV per atom

Record 2
## YTm8Sc6 (PBE-GGA)

Data for an optimized crystal structure of YTm8Sc6.

a = 9.251 Å, b = 9.251 Å, c = 7.853 Å
α = 53.91°, β = 53.91°, γ = 60.00°
Sites, in units of the cell vectors:
Sc 0.391 0.942 0.957
Sc 0.290 0.609 0.043
Sc 0.058 0.290 0.043
Sc 0.609 0.058 0.043
Sc 0.942 0.710 0.957
Sc 0.710 0.391 0.957
Y 0.000 0.000 0.000
Tm 0.589 0.589 0.232
Tm 0.366 0.227 0.476
Tm 0.931 0.366 0.476
Tm 0.227 0.931 0.476
Tm 0.411 0.411 0.768
Tm 0.069 0.634 0.524
Tm 0.634 0.773 0.524
Tm 0.773 0.069 0.524

## Properties
**Energy above the lowest structure with this stoichiometry**: 1.0 kJ per mole of atoms
**Space group**: R-3
**D(E_F)**: 1.6723 states/eV/atom
**Energy of formation**: 0.1939 eV per atom
**E_tot**: -5.155 eV per atom

Record 3
## Y2Tm2Sc (PBE-GGA)

Data for an optimized crystal structure of Y2Tm2Sc.

a = 11.258 Å, b = 11.258 Å, c = 6.479 Å
α = 96.40°, β = 96.40°, γ = 150.66°
Sites, in units of the cell vectors:
Tm 0.217 0.783 0.000
Tm 0.783 0.217 0.000
Tm 0.467 0.533 0.500
Tm 0.033 0.967 0.500
Y 0.125 0.375 0.750
Y 0.625 0.375 0.750
Y 0.625 0.875 0.250
Y 0.625 0.375 0.250
Sc 0.500 0.500 0.000
Sc 0.750 0.250 0.500

## Properties
**Energy above the lowest structure with this stoichiometry**: 62.4 kJ per mole of atoms
**Space group**: Fddd
**D(E_F)**: 1.8752 states/eV/atom
**Energy of formation**: 0.6943 eV per atom
**E_tot**: -4.946 eV per atom

Record 4
## Y6Tm3Sc (PBE-GGA)

Data for an optimized crystal structure of Y6Tm3Sc.

a = 6.156 Å, b = 10.849 Å, c = 10.849 Å
α = 120.03°, β = 90.00°, γ = 90.00°
Sites, in units of the cell vectors:
Tm 0.456 0.945 0.725
Tm 0.456 0.275 0.055
Tm 0.570 0.611 0.389
Tm 0.070 0.389 0.611
Tm 0.956 0.055 0.275
Tm 0.956 0.725 0.945
Sc 0.140 0.205 0.795
Sc 0.640 0.795 0.205
Y 0.041 0.710 0.619
Y 0.541 0.290 0.381
Y 0.041 0.381 0.290
Y 0.924 0.049 0.951
Y 0.851 0.949 0.529
Y 0.655 0.276 0.724
Y 0.155 0.724 0.276
Y 0.351 0.529 0.949
Y 0.541 0.619 0.710
Y 0.424 0.951 0.049
Y 0.851 0.471 0.051
Y 0.351 0.051 0.471

## Properties
**Energy above the lowest structure with this stoichiometry**: 0.0 kJ per mole of atoms
**Space group**: Cmc2_1
**D(E_F)**: 1.5437 states/eV/atom
**Energy of formation**: 0.1411 eV per atom
**E_tot**: -5.712 eV per atom